# Mg2HgPd

A relaxed Mg2HgPd crystal (GGA-PBE, OQMD).

## Properties
The space-group type is P4/mmm (123). The calculation puts the total energy at -2.6402 eV per atom.

Cell lengths 3.2874, 3.2874, 6.7966 Å; angles 90.00, 90.00, 90.00 degrees
Closest atoms and distances in Å follow each position.
Sites, in units of the cell vectors:
Mg 0.0000 0.0000 0.7776  4 Pd 2.77, 4 Hg 2.99, 1 Mg 3.02
Mg 0.0000 0.0000 0.2224  4 Pd 2.77, 4 Hg 2.99, 1 Mg 3.02
Pd 0.5000 0.5000 0.0000  8 Mg 2.77
Hg 0.5000 0.5000 0.5000  8 Mg 2.99, 4 Hg 3.29